A plane-wave DFT calculation with PBE was carried out for an optimized crystal structure of AlRu2Cl.

Properties
E_form (uncorrected) (meV per atom): 245.7
Size of the total moment (μB per atom): 0.000
E_tot (eV per atom): -5.790
SG: No. 65
Energy relative to the lowest polymorph listed for this composition (meV per atom): 351.1

Cell: 2.894 2.894 8.305 Å, 90.00 90.00 120.51°
Fractional positions:
Ru  0.000  0.000  0.003
Ru  0.000  0.000  0.497
Cl  0.500  0.500  0.750
Al  0.500  0.500  0.250